# 1
Here is In2CuTe3Br after structural relaxation from Alexandria. Energies are from PBE.

Cell lengths 6.1879, 6.4492, 7.5817 Å; angles 114.82, 111.48, 91.91 degrees
Last column: nearest neighbours and their distance in Å.
Space group P1 (No. 1)
Symmetry-distinct sites (fractional):
In 0.0000 0.0000 0.0000  1 Br 2.78, 3 Te 2.83
In 0.2805 0.7451 0.4702  1 Br 2.76, 3 Te 2.82-2.83
Cu 0.6749 0.3158 0.4204  3 Te 2.53-2.55
Te 0.4251 0.8981 0.2226  1 Cu 2.55, 2 In 2.83
Te 0.6150 0.6032 0.7411  1 Cu 2.53, 2 In 2.82-2.83
Te 0.8446 0.4076 0.1969  1 Cu 2.54, 2 In 2.83
Br 0.1286 0.1009 0.7254  2 In 2.76-2.78

Output
Electronic total energy = -3.292 eV per atom
Volume = 35.60 Å³ per atom
Raw formation energy = -7.8 kcal/mol of atoms

# 2
Here is TlIn2CuBr8 after structural relaxation from Alexandria. Energies are from PBE.

Cell lengths 7.8442, 7.8442, 8.9542 Å; angles 90.00, 90.00, 120.00 degrees
Last column: nearest neighbours and their distance in Å.
Space group P-3m1 (No. 164)
Symmetry-distinct sites (fractional):
Tl 0.0000 0.0000 0.0000  6 Br 3.48
In 0.3333 0.6667 0.2223  4 Br 2.52-2.58
Cu 0.0000 0.0000 0.5000  6 Br 2.67
Br 0.1527 0.3054 0.3124  1 In 2.58, 1 Cu 2.67
Br 0.3333 0.6667 0.9410  1 In 2.52

Output
Electronic total energy = -2.769 eV per atom
Volume = 39.76 Å³ per atom
Raw formation energy = -15.2 kcal/mol of atoms

# 3
Here is TlInCuBr6 after structural relaxation from Alexandria. Energies are from PBE.

Cell lengths 6.8172, 6.8306, 7.3488 Å; angles 93.07, 93.25, 114.26 degrees
Last column: nearest neighbours and their distance in Å.
Space group P1 (No. 1)
Symmetry-distinct sites (fractional):
Tl 0.0000 0.0000 0.0000  6 Br 3.26-3.49
In 0.6654 0.3273 0.4965  6 Br 2.62-2.80
Cu 0.3122 0.6659 0.5089  4 Br 2.46-2.48
Br 0.3562 0.4035 0.2889  1 Cu 2.47
Br 0.3613 0.0073 0.6806  1 Cu 2.48
Br 0.5930 0.6326 0.7146  1 Cu 2.46
Br 0.6273 0.0206 0.2485  1 In 2.62
Br 0.9846 0.3703 0.7383  1 In 2.64
Br 0.9884 0.6430 0.3225  1 Cu 2.47

Output
Electronic total energy = -2.765 eV per atom
Fermi-level density of states = 0.053 states/eV/atom
Volume = 34.49 Å³ per atom
Raw formation energy = -14.5 kcal/mol of atoms

# 4
Here is InCu2WBr after structural relaxation from Alexandria. Energies are from PBE.

Cell lengths 4.7818, 4.7818, 5.5903 Å; angles 90.00, 90.00, 90.00 degrees
Last column: nearest neighbours and their distance in Å.
Space group P4/mmm (No. 123)
Symmetry-distinct sites (fractional):
In 0.0000 0.0000 0.0000  2 W 2.80
Cu 0.0000 0.5000 0.5000  2 W 2.39
W 0.0000 0.0000 0.5000  4 Cu 2.39
Br 0.5000 0.5000 0.0000  4 In 3.38, 8 Cu 3.68

Output
Electronic total energy = -3.872 eV per atom
Fermi-level density of states = 0.953 states/eV/atom
Volume = 25.56 Å³ per atom
Raw formation energy = 28.6 kcal/mol of atoms